Material: Nb7Co6
Method: DFT, PBE
State: relaxed

a = 4.9799 Å, b = 4.9799 Å, c = 26.2362 Å
α = 90.00°, β = 90.00°, γ = 120.00°
Space group R-3m (No. 166, hexagonal axes)
Asymmetric unit:
Nb 0.0000 0.0000 0.0000
Nb 0.0000 0.0000 0.1663
Nb 0.0000 0.0000 0.3465
Nb 0.0000 0.0000 0.4501
Co 0.0083 0.5041 0.4118

Properties
Crystal system: trigonal
Formation energy: -0.193 eV per atom
N(E_F): 12.68 states/eV/f.u.
M_tot: 0.00 μB/f.u.